No. 1
Density functional theory data (PBE) for an optimized crystal structure of YCr2Re.

a = 9.186 Å, b = 3.152 Å, c = 5.219 Å
α = 90.00°, β = 107.90°, γ = 90.00°
Space group C2/m (No. 12)
Symmetry-distinct sites (fractional):
Y  0.000  0.000  0.000
Cr  0.217  0.000  0.630
Re  0.000  0.500  0.500

Output
Energy of formation: 0.40 eV/atom
VASP energy: -36.5 eV per formula unit

No. 2
Density functional theory data (PBE) for an optimized crystal structure of YCr2Re.

a = 5.623 Å, b = 8.576 Å, c = 2.764 Å
α = 90.00°, β = 109.86°, γ = 90.00°
Space group C2/m (No. 12)
Symmetry-distinct sites (fractional):
Y  0.000  0.000  0.000
Cr  0.250  0.250  0.500
Re  0.000  0.500  0.000

Output
Energy of formation: 0.62 eV/atom
VASP energy: -35.7 eV per formula unit

No. 3
Density functional theory data (PBE) for an optimized crystal structure of YCr2Re.

a = 3.164 Å, b = 4.754 Å, c = 8.677 Å
α = 90.00°, β = 90.00°, γ = 90.00°
Space group Immm (No. 71)
Symmetry-distinct sites (fractional):
Y  0.000  0.000  0.000
Cr  0.000  0.500  0.227
Re  0.000  0.000  0.500

Output
Energy of formation: 0.55 eV/atom
VASP energy: -36.0 eV per formula unit

No. 4
Density functional theory data (PBE) for an optimized crystal structure of YCrRe.

a = 6.141 Å, b = 6.141 Å, c = 6.141 Å
α = 90.00°, β = 90.00°, γ = 90.00°
Space group F-43m (No. 216)
Symmetry-distinct sites (fractional):
Y  0.000  0.000  0.000
Cr  0.250  0.250  0.250
Re  0.000  0.000  0.500

Output
Energy of formation: 0.72 eV/atom
VASP energy: -26.4 eV per formula unit

No. 5
Density functional theory data (PBE) for an optimized crystal structure of YCr2Re.

a = 4.528 Å, b = 4.528 Å, c = 3.091 Å
α = 90.00°, β = 90.00°, γ = 90.00°
Space group P4/mmm (No. 123)
Symmetry-distinct sites (fractional):
Y  0.000  0.000  0.000
Cr  0.000  0.500  0.500
Re  0.500  0.500  0.000

Output
Energy of formation: 0.53 eV/atom
VASP energy: -36.1 eV per formula unit

No. 6
Density functional theory data (PBE) for an optimized crystal structure of YCrRe.

a = 3.0981 Å, b = 3.0981 Å, c = 6.6483 Å
α = 90.00°, β = 90.00°, γ = 120.00°
Space group P3m1 (No. 156)
Symmetry-distinct sites (fractional):
Y  0.0000  0.0000  0.0000
Cr  0.6667  0.3333  0.3749
Re  0.3333  0.6667  0.6166

Output
Energy of formation: 0.60 eV/atom
VASP energy: -26.7 eV per formula unit

No. 7
Density functional theory data (PBE) for an optimized crystal structure of YCr2Re.

a = 9.260 Å, b = 3.063 Å, c = 5.138 Å
α = 90.00°, β = 108.88°, γ = 90.00°
Space group Cm (No. 8)
Symmetry-distinct sites (fractional):
Y  0.000  0.000  0.000
Cr  0.286  0.500  0.343
Cr  0.493  0.000  0.495
Re  0.217  0.000  0.655

Output
Energy of formation: 0.46 eV/atom
VASP energy: -36.3 eV per formula unit

No. 8
Density functional theory data (PBE) for an optimized crystal structure of YCrRe2.

a = 3.141 Å, b = 4.726 Å, c = 9.150 Å
α = 90.00°, β = 90.00°, γ = 90.00°
Space group Imm2 (No. 44)
Symmetry-distinct sites (fractional):
Y  0.000  0.000  0.000
Cr  0.000  0.500  0.772
Re  0.000  0.000  0.496
Re  0.000  0.500  0.226

Output
Energy of formation: 0.42 eV/atom
VASP energy: -39.3 eV per formula unit